(1)
This record from Alexandria describes a relaxed Zr2Ga2Au3 crystal. The functional is PBE.

POSCAR file:
```
Zr2Ga2Au3
1.0
3.764 0.000 0.000
-1.882 5.341 0.237
0.000 -0.920 6.479
Ga Zr Au
2 2 3
Direct
0.083 0.166 0.642
0.917 0.834 0.358
0.640 0.281 0.337
0.360 0.719 0.663
0.000 0.000 0.000
0.693 0.386 0.861
0.307 0.614 0.139
```

For the formation energy, the calculation gives -0.4454 eV/atom.



(2)
This record from Alexandria describes a relaxed CsNaGeP2 crystal. The functional is PBE.

POSCAR file:
```
CsNaGeP2
1.0
-2.345 -3.130 -1.010
5.884 -3.025 3.793
-5.931 1.885 7.930
Na Cs P Ge
2 2 4 2
Direct
0.299 0.598 0.916
0.701 0.402 0.084
0.637 0.275 0.653
0.363 0.725 0.347
0.598 0.196 0.291
0.106 0.212 0.940
0.894 0.788 0.060
0.402 0.804 0.709
0.050 0.101 0.154
0.950 0.899 0.846
```

For the formation energy, the calculation gives -0.2161 eV/atom.



(3)
This record from Alexandria describes a relaxed CsSrO crystal. The functional is PBE.

POSCAR file:
```
CsSrO
1.0
4.895 0.000 0.000
0.000 4.895 0.000
0.000 0.000 11.708
Sr O Cs
2 2 2
Direct
0.500 0.500 0.500
0.000 0.000 0.500
0.000 0.500 0.547
0.500 0.000 0.453
0.000 0.500 0.811
0.500 0.000 0.189
```

Its total energy is -0.3003 Ry/atom.



(4)
This record from Alexandria describes a relaxed Ba6PPb2O crystal. The functional is PBE.

POSCAR file:
```
Ba6PPb2O
1.0
8.274 0.000 0.000
0.000 8.273 0.000
0.000 0.000 11.707
O Pb Ba P
2 4 12 2
Direct
0.500 0.250 0.500
0.000 0.750 0.000
0.000 0.250 0.750
0.000 0.250 0.250
0.500 0.750 0.750
0.500 0.750 0.250
0.239 0.990 0.000
0.740 0.489 0.500
0.761 0.990 0.000
0.739 0.010 0.500
0.000 0.750 0.760
0.760 0.511 0.000
0.500 0.250 0.260
0.000 0.750 0.240
0.261 0.010 0.500
0.240 0.511 0.000
0.500 0.250 0.740
0.260 0.489 0.500
0.000 0.750 0.500
0.500 0.250 0.000
```

Its total energy is -0.2868 Ry/atom.



(5)
This record from Alexandria describes a relaxed CaZn2Fe crystal. The functional is PBE.

POSCAR file:
```
CaZn2Fe
1.0
8.568 -0.182 -0.107
8.012 3.041 -0.107
8.012 1.382 2.712
Zn Fe Ca
2 1 1
Direct
0.262 0.262 0.262
0.002 0.002 0.002
0.738 0.738 0.738
0.498 0.498 0.498
```

For the formation energy, the calculation gives 0.3969 eV/atom.



(6)
This record from Alexandria describes a relaxed Ho2ErPaS4 crystal. The functional is PBE.

POSCAR file:
```
Ho2ErPaS4
1.0
3.849 0.000 0.000
0.000 6.742 0.145
0.000 -2.327 6.317
S Pa Er Ho
4 1 1 2
Direct
0.500 0.753 0.750
0.000 0.246 0.747
0.000 0.754 0.253
0.500 0.247 0.250
0.500 0.500 0.000
0.000 0.000 0.000
0.500 0.000 0.500
0.000 0.500 0.500
```

Its total energy is -0.5016 Ry/atom.



(7)
This record from Alexandria describes a relaxed NaLi3Sb crystal. The functional is PBE.

POSCAR file:
```
NaLi3Sb
1.0
-3.907 0.922 3.276
2.915 -2.440 3.521
2.245 4.611 0.739
Li Sb Na
3 1 1
Direct
0.109 0.529 0.529
0.529 0.110 0.529
0.529 0.529 0.110
0.627 0.627 0.627
0.013 0.013 0.013
```

As for the energy above the most stable polymorph in this dataset: 0 meV/atom.



The records above give, respectively, total magnetic moment values of 0.00, 0.00, 0.00, 0.00, 2.33, 0.00, 0.00 Bohr magnetons per cell.